No. 1
# PBE SrLaMg14, optimized geometry
# Energy of formation from the pure elements   38 meV per atom
# Relative energy among the computed polymorphs   0.20 eV per formula unit
# Magnetization   0.0 μB/f.u.
data_SrLaMg14
_chemical_formula_sum 'Sr2 La2 Mg28'
_cell_length_a 10.545
_cell_length_b 7.193
_cell_length_c 10.943
_cell_angle_alpha 90.00
_cell_angle_beta 90.00
_cell_angle_gamma 90.00
_space_group_name_H-M_alt 'A m m 2'
_space_group_IT_number 38
loop_
_space_group_symop_operation_xyz
'x,y,z'
'-x,-y,z'
'-x,y,z'
'x,-y,z'
'x,y+1/2,z+1/2'
'-x,-y+1/2,z+1/2'
'-x,y+1/2,z+1/2'
'x,-y+1/2,z+1/2'
loop_
_atom_site_label
_atom_site_type_symbol
_atom_site_fract_x
_atom_site_fract_y
_atom_site_fract_z
Sr1 Sr 0.000 0.000 0.000
La1 La 0.000 0.000 0.493
Mg1 Mg 0.000 0.243 0.748
Mg2 Mg 0.246 0.000 0.242
Mg3 Mg 0.250 0.000 0.730
Mg4 Mg 0.273 0.249 0.983
Mg5 Mg 0.500 0.000 0.418
Mg6 Mg 0.500 0.000 0.907
Mg7 Mg 0.500 0.239 0.171


No. 2
# PBE Sr4LaMg, optimized geometry
# Energy of formation from the pure elements   389 meV per atom
# Magnetization   1.6 μB/f.u.
data_Sr4LaMg
_chemical_formula_sum 'Sr16 La4 Mg4'
_cell_length_a 10.427
_cell_length_b 10.427
_cell_length_c 10.427
_cell_angle_alpha 90.00
_cell_angle_beta 90.00
_cell_angle_gamma 90.00
_space_group_name_H-M_alt 'F -4 3 m'
_space_group_IT_number 216
_space_group_name_Hall 'F -4 2 3'
loop_
_atom_site_label
_atom_site_type_symbol
_atom_site_fract_x
_atom_site_fract_y
_atom_site_fract_z
Sr1 Sr 0.125 0.125 0.125
La1 La 0.250 0.250 0.750
Mg1 Mg 0.000 0.000 0.500


No. 3
# PBE Sr2LaMg2, optimized geometry
# Energy of formation from the pure elements   111 meV per atom
# Relative energy among the computed polymorphs   0.19 eV per formula unit
# Magnetization   0.3 μB/f.u.
data_Sr2LaMg2
_chemical_formula_sum 'Sr4 La2 Mg4'
_cell_length_a 9.887
_cell_length_b 9.887
_cell_length_c 3.750
_cell_angle_alpha 90.00
_cell_angle_beta 90.00
_cell_angle_gamma 90.00
_space_group_name_H-M_alt 'P 4/m b m'
_space_group_IT_number 127
_space_group_name_Hall '-P 4 2ab'
loop_
_atom_site_label
_atom_site_type_symbol
_atom_site_fract_x
_atom_site_fract_y
_atom_site_fract_z
Sr1 Sr 0.133 0.367 0.000
La1 La 0.000 0.000 0.000
Mg1 Mg 0.166 0.666 0.500